Entry 1:
GGA-PBE Sr3YB, optimized geometry; E above lowest polymorph = 0.0000 eV/atom; formation energy from the elements = 2.67 eV per formula unit
1.0
5.771 0.000 0.000
0.000 5.771 0.000
0.000 0.000 5.771
Sr Y B
3 1 1
direct
0.000 0.000 0.500 Sr
0.000 0.500 0.000 Sr
0.500 0.000 0.000 Sr
0.500 0.500 0.500 Y
0.000 0.000 0.000 B



Entry 2:
GGA-PBE SrYB3, optimized geometry; E above lowest polymorph = 0.6516 eV/atom; formation energy from the elements = 10.28 eV per formula unit
1.0
4.621 0.000 0.000
0.000 4.621 0.000
0.000 0.000 4.621
Sr Y B
1 1 3
direct
0.000 0.000 0.000 Sr
0.500 0.500 0.500 Y
0.000 0.000 0.500 B
0.000 0.500 0.000 B
0.500 0.000 0.000 B



Entry 3:
GGA-PBE SrYB2, optimized geometry; E above lowest polymorph = 0.0000 eV/atom; formation energy from the elements = 2.70 eV per formula unit
1.0
0.000 3.353 3.353
3.353 0.000 3.353
3.353 3.353 0.000
Sr Y B
1 1 2
direct
0.000 0.000 0.000 Sr
0.500 0.500 0.500 Y
0.250 0.250 0.250 B
0.750 0.750 0.750 B



Entry 4:
GGA-PBE SrYB3, optimized geometry; E above lowest polymorph = 0.0000 eV/atom; formation energy from the elements = 7.02 eV per formula unit
1.0
4.760 0.000 0.000
0.000 4.760 0.000
0.000 0.000 4.760
Sr Y B
1 1 3
direct
0.000 0.000 0.000 Sr
0.500 0.500 0.500 Y
0.000 0.500 0.500 B
0.500 0.000 0.500 B
0.500 0.500 0.000 B



Entry 5:
GGA-PBE SrYB12, optimized geometry; formation energy from the elements = -6.03 eV per formula unit
1.0
0.000 4.145 4.145
4.145 0.000 4.145
4.145 4.145 0.000
Sr Y B
1 1 12
direct
0.000 0.000 0.000 Sr
0.500 0.500 0.500 Y
0.100 0.100 0.400 B
0.100 0.400 0.100 B
0.100 0.400 0.400 B
0.400 0.100 0.100 B
0.400 0.100 0.400 B
0.400 0.400 0.100 B
0.600 0.600 0.900 B
0.600 0.900 0.600 B
0.600 0.900 0.900 B
0.900 0.600 0.600 B
0.900 0.600 0.900 B
0.900 0.900 0.600 B



Entry 6:
GGA-PBE Sr3ZnB, optimized geometry; E above lowest polymorph = 0.0000 eV/atom; formation energy from the elements = 1.75 eV per formula unit
1.0
5.653 0.000 0.000
0.000 5.653 0.000
0.000 0.000 5.653
Sr Zn B
3 1 1
direct
0.000 0.000 0.500 Sr
0.000 0.500 0.000 Sr
0.500 0.000 0.000 Sr
0.500 0.500 0.500 Zn
0.000 0.000 0.000 B



Entry 7:
GGA-PBE SrZnB2, optimized geometry; formation energy from the elements = 2.01 eV per formula unit
1.0
-2.132 2.132 7.268
2.132 -2.132 7.268
2.132 2.132 -7.268
Sr Zn B
2 2 4
direct
0.375 0.625 0.750 Sr
0.625 0.375 0.250 Sr
0.125 0.875 0.250 Zn
0.875 0.125 0.750 Zn
0.000 0.000 0.000 B
0.000 0.000 0.500 B
0.000 0.500 0.000 B
0.500 0.000 0.500 B



Entry 8:
GGA-PBE SrZnB3, optimized geometry; E above lowest polymorph = 0.0000 eV/atom; formation energy from the elements = 6.57 eV per formula unit
1.0
4.241 0.000 0.000
0.000 4.241 0.000
0.000 0.000 4.241
Sr Zn B
1 1 3
direct
0.000 0.000 0.000 Sr
0.500 0.500 0.500 Zn
0.000 0.500 0.500 B
0.500 0.000 0.500 B
0.500 0.500 0.000 B



Entry 9:
GGA-PBE SrZn3B, optimized geometry; E above lowest polymorph = 0.0000 eV/atom; formation energy from the elements = 1.39 eV per formula unit
1.0
4.481 0.000 0.000
0.000 4.481 0.000
0.000 0.000 4.481
Sr Zn B
1 3 1
direct
0.000 0.000 0.000 Sr
0.000 0.500 0.500 Zn
0.500 0.000 0.500 Zn
0.500 0.500 0.000 Zn
0.500 0.500 0.500 B



Entry 10:
GGA-PBE SrZnB3, optimized geometry; E above lowest polymorph = 1.5455 eV/atom; formation energy from the elements = 14.30 eV per formula unit
1.0
5.043 0.000 0.000
0.000 5.043 0.000
0.000 0.000 5.043
Sr Zn B
1 1 3
direct
0.000 0.000 0.000 Sr
0.500 0.500 0.500 Zn
0.000 0.000 0.500 B
0.000 0.500 0.000 B
0.500 0.000 0.000 B



Entry 11:
GGA-PBE SrZn3B, optimized geometry; E above lowest polymorph = 1.4861 eV/atom; formation energy from the elements = 8.82 eV per formula unit
1.0
6.119 0.000 0.000
0.000 6.119 0.000
0.000 0.000 6.119
Sr Zn B
1 3 1
direct
0.000 0.000 0.000 Sr
0.000 0.000 0.500 Zn
0.000 0.500 0.000 Zn
0.500 0.000 0.000 Zn
0.500 0.500 0.500 B



Entry 12:
GGA-PBE SrZrZnB2, optimized geometry; formation energy from the elements = 12.65 eV per formula unit
1.0
4.711 0.000 0.000
0.000 4.711 0.000
0.000 0.000 5.519
Sr Zr Zn B
1 1 1 2
direct
0.000 0.000 0.000 Sr
0.000 0.000 0.500 Zr
0.500 0.500 0.500 Zn
0.000 0.500 0.000 B
0.500 0.000 0.000 B



no.,DOS at the Fermi energy (states/eV/f.u.),DFT total energy (eV/atom),V (Å³/atom)
1,7.42,-3.104,38.4
2,6.73,-3.579,19.7
3,2.68,-4.699,18.9
4,6.45,-4.231,21.6
5,3.44,-6.736,10.2
6,4.56,-2.249,36.1
7,0.91,-3.576,16.5
8,2.25,-3.283,15.3
9,2.52,-2.157,18.0
10,6.19,-1.737,25.7
11,6.70,-0.671,45.8
12,5.28,-2.441,24.5